The following is a DFT calculation (meta-GGA SCAN) of a PBEsol-optimized structure of LiPb.

Cell: 3.3516 3.3516 5.0791 Å, 70.73 70.73 60.00°
Last column: nearest neighbours and their distance in Å.
Fractional coordinates of all 2 atoms:
Pb 0.5000 0.5000 0.5000  6 Li 3.04, 6 Pb 3.35
Li 0.0000 0.0000 0.0000  6 Pb 3.04, 6 Li 3.35

Computed properties:
V = 22.84 A^3/atom
ρ = 7.78 g/cm3
energy of formation from the pure elements = -0.280 eV/atom
energy = -2.8933 Ry per atom